Here is crystalline TcSb at its relaxed geometry from Alexandria via LeMat-Bulk. Energies are from PBEsol.

Cell lengths 4.1098, 4.1098, 5.0842 Å; angles 113.84, 113.84, 90.00 degrees
Last column: nearest neighbours and their distance in Å.
Atoms (fractional coordinates):
Tc1 0.5000 0.5000 0.0000  8 Sb 2.91-2.93, 4 Tc 2.93
Tc2 0.7500 0.2500 0.5000  8 Sb 2.91-2.93, 4 Tc 2.93
Sb1 0.2500 0.7500 0.5000  8 Tc 2.91-2.93, 4 Sb 2.93
Sb2 0.0000 0.0000 0.0000  8 Tc 2.91-2.93, 4 Sb 2.93

Computed properties:
Uncorrected formation energy: 0.5441 eV/atom
DOS(E_F): 4.2 states/eV per cell
ΔE to the lowest computed polymorph: 95 kJ/mol of formula units
Crystal system: tetragonal